Record 1
This record from the Alexandria database describes AsIrPt4 at its PBEsol-relaxed geometry. The functional is meta-GGA SCAN.

The calculation puts the energy of formation from the pure elements at 0.56 eV per atom. For the total magnetization, the calculation gives 3.50 Bohr magnetons per cell. For the volume, the calculation gives 16.29 A^3/atom. The calculation puts the calculated total energy at -1474.9 eV for the cell shown. The value obtained for the theoretical density is 17.8 g/cm³. The density of states at the Fermi level comes out at 4.0 states/eV/f.u.

The structure in CIF format:
```
data_AsIrPt4
_chemical_formula_sum 'As4 Ir4 Pt16'
_cell_length_a 7.313
_cell_length_b 7.313
_cell_length_c 7.313
_cell_angle_alpha 90.00
_cell_angle_beta 90.00
_cell_angle_gamma 90.00
_space_group_name_H-M_alt 'F -4 3 m'
_space_group_IT_number 216
_space_group_name_Hall 'F -4 2 3'
loop_
_atom_site_label
_atom_site_type_symbol
_atom_site_fract_x
_atom_site_fract_y
_atom_site_fract_z
As1 As 0.000 0.000 0.000
Ir1 Ir 0.250 0.250 0.750
Pt1 Pt 0.124 0.124 0.376
```



Record 2
This record from the Alexandria database describes AsIr2Pt at its PBEsol-relaxed geometry. The functional is meta-GGA SCAN.

The calculation puts the energy of formation from the pure elements at 0.41 eV per atom. For the total magnetization, the calculation gives 0.02 Bohr magnetons per cell. For the volume, the calculation gives 15.01 A^3/atom. The calculation puts the calculated total energy at -923.8 eV for the cell shown. The value obtained for the theoretical density is 18.1 g/cm³. The density of states at the Fermi level comes out at 5.2 states/eV/f.u.

The structure in CIF format:
```
data_AsIr2Pt
_chemical_formula_sum 'As4 Ir8 Pt4'
_cell_length_a 6.216
_cell_length_b 6.216
_cell_length_c 6.216
_cell_angle_alpha 90.00
_cell_angle_beta 90.00
_cell_angle_gamma 90.00
_space_group_name_H-M_alt 'F -4 3 m'
_space_group_IT_number 216
_space_group_name_Hall 'F -4 2 3'
loop_
_atom_site_label
_atom_site_type_symbol
_atom_site_fract_x
_atom_site_fract_y
_atom_site_fract_z
As1 As 0.000 0.000 0.000
Ir1 Ir 0.000 0.000 0.500
Ir2 Ir 0.250 0.250 0.250
Pt1 Pt 0.250 0.250 0.750
```



Record 3
This record from the Alexandria database describes AsIrPt at its PBEsol-relaxed geometry. The functional is meta-GGA SCAN.

The calculation puts the energy of formation from the pure elements at 0.12 eV per atom. For the relative energy among the computed polymorphs, the calculation gives 0.201 eV per atom. For the total magnetization, the calculation gives 0.00 Bohr magnetons per cell. For the volume, the calculation gives 15.06 A^3/atom. The calculation puts the calculated total energy at -161.1 eV for the cell shown. The value obtained for the theoretical density is 17.0 g/cm³. The density of states at the Fermi level comes out at 2.1 states/eV/f.u.

The structure in CIF format:
```
data_AsIrPt
_chemical_formula_sum 'As1 Ir1 Pt1'
_cell_length_a 2.8930
_cell_length_b 2.8930
_cell_length_c 6.2347
_cell_angle_alpha 90.00
_cell_angle_beta 90.00
_cell_angle_gamma 120.00
_space_group_name_H-M_alt 'P 3 m 1'
_space_group_IT_number 156
_space_group_name_Hall 'P 3 -2"'
loop_
_atom_site_label
_atom_site_type_symbol
_atom_site_fract_x
_atom_site_fract_y
_atom_site_fract_z
As1 As 0.0000 0.0000 0.0000
Ir1 Ir 0.6667 0.3333 0.6975
Pt1 Pt 0.3333 0.6667 0.3312
```



Record 4
This record from the Alexandria database describes ReAs2Ir at its PBEsol-relaxed geometry. The functional is meta-GGA SCAN.

The calculation puts the energy of formation from the pure elements at 0.18 eV per atom. For the relative energy among the computed polymorphs, the calculation gives 0.047 eV per atom. For the total magnetization, the calculation gives 0.00 Bohr magnetons per cell. For the volume, the calculation gives 15.04 A^3/atom. The calculation puts the calculated total energy at -181.9 eV for the cell shown. The value obtained for the theoretical density is 14.6 g/cm³. The density of states at the Fermi level comes out at 2.7 states/eV/f.u.

The structure in CIF format:
```
data_ReAs2Ir
_chemical_formula_sum 'Re1 As2 Ir1'
_cell_length_a 2.925
_cell_length_b 3.927
_cell_length_c 5.235
_cell_angle_alpha 90.00
_cell_angle_beta 90.00
_cell_angle_gamma 90.00
_space_group_name_H-M_alt 'P m m 2'
_space_group_IT_number 25
_space_group_name_Hall 'P 2 -2'
loop_
_atom_site_label
_atom_site_type_symbol
_atom_site_fract_x
_atom_site_fract_y
_atom_site_fract_z
Re1 Re 0.000 0.000 0.000
As1 As 0.000 0.000 0.517
As2 As 0.500 0.500 0.165
Ir1 Ir 0.500 0.500 0.678
```



Record 5
This record from the Alexandria database describes ReAsIr at its PBEsol-relaxed geometry. The functional is meta-GGA SCAN.

The calculation puts the energy of formation from the pure elements at 0.40 eV per atom. For the total magnetization, the calculation gives 0.00 Bohr magnetons per cell. For the volume, the calculation gives 14.72 A^3/atom. The calculation puts the calculated total energy at -322.4 eV for the cell shown. The value obtained for the theoretical density is 17.0 g/cm³. The density of states at the Fermi level comes out at 2.1 states/eV/f.u.

The structure in CIF format:
```
data_ReAsIr
_chemical_formula_sum 'Re2 As2 Ir2'
_cell_length_a 2.824
_cell_length_b 3.990
_cell_length_c 7.840
_cell_angle_alpha 90.00
_cell_angle_beta 90.00
_cell_angle_gamma 90.00
_space_group_name_H-M_alt 'I m m 2'
_space_group_IT_number 44
_space_group_name_Hall 'I 2 -2'
loop_
_atom_site_label
_atom_site_type_symbol
_atom_site_fract_x
_atom_site_fract_y
_atom_site_fract_z
Re1 Re 0.000 0.000 0.000
As1 As 0.000 0.000 0.676
Ir1 Ir 0.000 0.000 0.352
```



Record 6
This record from the Alexandria database describes ReAsIr3 at its PBEsol-relaxed geometry. The functional is meta-GGA SCAN.

The calculation puts the energy of formation from the pure elements at 1.75 eV per atom. For the total magnetization, the calculation gives 5.50 Bohr magnetons per cell. For the volume, the calculation gives 17.88 A^3/atom. The calculation puts the calculated total energy at -295.8 eV for the cell shown. The value obtained for the theoretical density is 15.6 g/cm³. The density of states at the Fermi level comes out at 3.9 states/eV/f.u.

The structure in CIF format:
```
data_ReAsIr3
_chemical_formula_sum 'Re1 As1 Ir3'
_cell_length_a 4.471
_cell_length_b 4.471
_cell_length_c 4.471
_cell_angle_alpha 90.00
_cell_angle_beta 90.00
_cell_angle_gamma 90.00
_space_group_name_H-M_alt 'P m -3 m'
_space_group_IT_number 221
_space_group_name_Hall '-P 4 2 3'
loop_
_atom_site_label
_atom_site_type_symbol
_atom_site_fract_x
_atom_site_fract_y
_atom_site_fract_z
Re1 Re 0.000 0.000 0.000
As1 As 0.500 0.500 0.500
Ir1 Ir 0.000 0.500 0.500
```